DFT (GGA-PBE) results for CaDy2Pt after structural relaxation.

a = 3.5410 Å, b = 3.5410 Å, c = 9.3719 Å
α = 90.00°, β = 90.00°, γ = 90.00°
With the nearest neighbours (Å) after each atom.
Fractional coordinates of all 4 atoms:
Dy1 0.0000 0.0000 0.8248  4 Pt 2.99, 1 Dy 3.28
Dy2 0.0000 0.0000 0.1752  4 Pt 2.99, 1 Dy 3.28
Pt1 0.5000 0.5000 0.0000  8 Dy 2.99
Ca1 0.5000 0.5000 0.5000  4 Ca 3.54, 8 Dy 3.94

- Electronic total energy: -4.881 eV/atom
- Density of states at the Fermi level: 4.14 states/eV per cell
- Calculated formation energy: -0.57 eV/atom
- Offset from the most stable computed form: 0.006 eV per atom